Run i
Material: Hf3SnP
Method: DFT, PBE
State: optimized geometry

## Properties
Its total magnetization is 0.00 Bohr magnetons per cell.

Unit cell a=15.638 b=3.450 c=9.407 alpha=90.00 beta=122.79 gamma=90.00
Space group C2/m (No. 12)
Asymmetric unit:
Hf 0.048 0.000 0.214 [4 per cell]
Hf 0.095 0.500 0.716 [4 per cell]
Hf 0.248 0.500 0.360 [4 per cell]
Sn 0.168 0.000 0.048 [4 per cell]
P 0.108 0.500 0.454 [4 per cell]



Run ii
Material: Hf3SnP
Method: DFT, PBE
State: optimized geometry

## Properties
Its total magnetization is 0.00 Bohr magnetons per cell.

Unit cell a=7.341 b=3.732 c=8.175 alpha=90.00 beta=99.29 gamma=90.00
Space group P2_1/m (No. 11)
Asymmetric unit:
Hf 0.082 0.250 0.349 [2 per cell]
Hf 0.331 0.250 0.954 [2 per cell]
Hf 0.382 0.750 0.610 [2 per cell]
Sn 0.331 0.750 0.226 [2 per cell]
P 0.156 0.250 0.662 [2 per cell]



Run iii
Material: Hf3SnP
Method: DFT, PBE
State: optimized geometry

## Properties
Its total magnetization is 0.00 Bohr magnetons per cell.

Unit cell a=4.823 b=4.823 c=4.823 alpha=90.00 beta=90.00 gamma=90.00
Space group Pm-3m (No. 221)
Asymmetric unit:
Hf 0.000 0.000 0.500 [3 per cell]
Sn 0.500 0.500 0.500 [1 per cell]
P 0.000 0.000 0.000 [1 per cell]



The most stable of them is run ii.



Run i
Material: Hf2SnP2
Method: DFT, PBE
State: optimized geometry

## Properties
Its total magnetization is 0.00 Bohr magnetons per cell.

Unit cell a=3.643 b=3.643 c=14.318 alpha=90.00 beta=90.00 gamma=90.00
Space group I4/mmm (No. 139)
Asymmetric unit:
Hf 0.000 0.000 0.117 [4 per cell]
Sn 0.000 0.000 0.500 [2 per cell]
P 0.000 0.500 0.250 [4 per cell]



Run ii
Material: Hf2SnP2
Method: DFT, PBE
State: optimized geometry

## Properties
Its total magnetization is 0.00 Bohr magnetons per cell.

Unit cell a=7.394 b=7.394 c=3.387 alpha=90.00 beta=90.00 gamma=90.00
Space group P4/mbm (No. 127)
Asymmetric unit:
Hf 0.153 0.347 0.000 [4 per cell]
Sn 0.000 0.000 0.500 [2 per cell]
P 0.137 0.637 0.500 [4 per cell]



Run iii
Material: Hf2SnP2
Method: DFT, PBE
State: optimized geometry

## Properties
Its total magnetization is 0.00 Bohr magnetons per cell.

Unit cell a=7.507 b=7.507 c=3.382 alpha=90.00 beta=90.00 gamma=90.00
Space group P4/mbm (No. 127)
Asymmetric unit:
Hf 0.150 0.350 0.000 [4 per cell]
Sn 0.000 0.000 0.000 [2 per cell]
P 0.139 0.639 0.500 [4 per cell]



The most stable of them is run iii.



Run i
Material: SrHfP2
Method: DFT, PBE
State: optimized geometry

## Properties
Its total magnetization is 0.00 Bohr magnetons per cell.

Unit cell a=3.8801 b=3.8801 c=21.1690 alpha=90.00 beta=90.00 gamma=120.00
Space group R3m (No. 160, hexagonal axes)
Asymmetric unit:
Sr 0.0000 0.0000 0.0000 [3 per cell]
Hf 0.0000 0.0000 0.1711 [3 per cell]
P 0.0000 0.0000 0.5720 [3 per cell]
P 0.0000 0.0000 0.7677 [3 per cell]



Run ii
Material: SrHfP2
Method: DFT, PBE
State: optimized geometry

## Properties
Its total magnetization is 0.00 Bohr magnetons per cell.

Unit cell a=3.9077 b=3.9077 c=20.6270 alpha=90.00 beta=90.00 gamma=120.00
Space group R-3m (No. 166, hexagonal axes)
Asymmetric unit:
Sr 0.0000 0.0000 0.0000 [3 per cell]
Hf 0.0000 0.0000 0.5000 [3 per cell]
P 0.0000 0.0000 0.2361 [6 per cell]



The most stable of them is run ii.



Run i
Material: SrHfP2
Method: DFT, PBE
State: optimized geometry

## Properties
Its total magnetization is 0.00 Bohr magnetons per cell.

Unit cell a=6.897 b=6.897 c=6.897 alpha=90.00 beta=90.00 gamma=90.00
Space group Fm-3m (No. 225)
Asymmetric unit:
Sr 0.000 0.000 0.000 [4 per cell]
Hf 0.000 0.000 0.500 [4 per cell]
P 0.250 0.250 0.250 [8 per cell]



Run ii
Material: SrHfP2
Method: DFT, PBE
State: optimized geometry

## Properties
Its total magnetization is 0.00 Bohr magnetons per cell.

Unit cell a=7.119 b=7.119 c=8.829 alpha=90.00 beta=90.00 gamma=90.00
Space group I-42d (No. 122)
Asymmetric unit:
Sr 0.000 0.000 0.000 [4 per cell]
Hf 0.000 0.000 0.500 [4 per cell]
P 0.192 0.250 0.625 [8 per cell]



The most stable of them is run ii.



Run i
Material: SrHf2P2
Method: DFT, PBE
State: optimized geometry

## Properties
Its total magnetization is 0.00 Bohr magnetons per cell.

Unit cell a=7.559 b=7.559 c=3.479 alpha=90.00 beta=90.00 gamma=90.00
Space group P4/mbm (No. 127)
Asymmetric unit:
Sr 0.000 0.000 0.000 [2 per cell]
Hf 0.145 0.355 0.500 [4 per cell]
P 0.136 0.636 0.000 [4 per cell]



Run ii
Material: SrHf2P2
Method: DFT, PBE
State: optimized geometry

## Properties
Its total magnetization is 0.00 Bohr magnetons per cell.

Unit cell a=4.862 b=4.862 c=10.009 alpha=90.00 beta=90.00 gamma=90.00
Space group I4/mmm (No. 139)
Asymmetric unit:
Sr 0.000 0.000 0.000 [2 per cell]
Hf 0.000 0.000 0.343 [4 per cell]
P 0.000 0.500 0.250 [4 per cell]



The most stable of them is run i.



Run i
Material: SrHf3P
Method: DFT, PBE
State: optimized geometry

## Properties
Its total magnetization is 0.00 Bohr magnetons per cell.

Unit cell a=5.016 b=5.016 c=5.016 alpha=90.00 beta=90.00 gamma=90.00
Space group Pm-3m (No. 221)
Asymmetric unit:
Sr 0.000 0.000 0.000 [1 per cell]
Hf 0.000 0.500 0.500 [3 per cell]
P 0.500 0.500 0.500 [1 per cell]



Run ii
Material: SrHf3P
Method: DFT, PBE
State: optimized geometry

## Properties
Its total magnetization is 0.00 Bohr magnetons per cell.

Unit cell a=5.110 b=5.110 c=5.110 alpha=90.00 beta=90.00 gamma=90.00
Space group Pm-3m (No. 221)
Asymmetric unit:
Sr 0.000 0.000 0.000 [1 per cell]
Hf 0.000 0.000 0.500 [3 per cell]
P 0.500 0.500 0.500 [1 per cell]



The most stable of them is run i.